Material: V2BiF11
Method: DFT, PBE with a Hubbard U
State: optimized geometry

Unit cell a=8.732 b=8.095 c=8.095 alpha=65.26 beta=57.36 gamma=57.36
Site moments in Bohr magnetons follow the coordinates.
Fractional coordinates of all 28 atoms:
F  0.145  0.075  0.184  0.01
F  0.596  0.184  0.075  0.01
F  0.904  0.425  0.316  0.01
F  0.574  0.097  0.644  0.01
F  0.404  0.816  0.925  0.01
Bi  0.250  0.250  0.250  0.00
V  0.162  0.839  0.161  1.00
F  0.426  0.903  0.356  0.01
F  0.698  0.302  0.698  -0.04
V  0.838  0.161  0.839  1.00
F  0.685  0.644  0.097  0.01
F  0.198  0.198  0.802  -0.04
V  0.338  0.339  0.661  1.00
F  0.926  0.856  0.403  0.01
F  0.645  0.684  0.575  0.01
F  0.815  0.403  0.856  0.01
V  0.662  0.661  0.339  1.00
Bi  0.750  0.750  0.750  0.00
F  0.855  0.925  0.816  0.01
F  0.302  0.698  0.302  -0.04
F  0.096  0.575  0.684  0.01
F  0.355  0.316  0.425  0.01
F  0.000  0.000  0.000  -0.02
F  0.500  0.500  0.500  -0.02
F  0.315  0.356  0.903  0.01
F  0.802  0.802  0.198  -0.04
F  0.074  0.144  0.597  0.01
F  0.185  0.597  0.144  0.01

Results
Its total energy is -5.372 eV per atom.

Material: V2Bi2F
Method: DFT, PBE with a Hubbard U
State: optimized geometry

Unit cell a=6.350 b=6.350 c=5.679 alpha=90.00 beta=90.00 gamma=90.00
Site moments in Bohr magnetons follow the coordinates.
Fractional coordinates of all 10 atoms:
V  0.203  0.297  0.000  2.88
F  0.000  0.000  0.000  0.02
V  0.297  0.797  0.000  2.88
V  0.703  0.203  0.000  2.88
Bi  0.691  0.809  0.500  -0.05
Bi  0.309  0.191  0.500  -0.05
F  0.500  0.500  0.000  0.02
Bi  0.191  0.691  0.500  -0.05
Bi  0.809  0.309  0.500  -0.05
V  0.797  0.703  0.000  2.88

Results
The energy above the most stable polymorph in this dataset comes out at 0.0000 eV/atom. Its total energy is -5.012 eV per atom.

Material: V2BiF
Method: DFT, PBE with a Hubbard U
State: optimized geometry

Unit cell a=5.262 b=5.262 c=7.469 alpha=69.38 beta=69.38 gamma=90.00
Site moments in Bohr magnetons follow the coordinates.
Fractional coordinates of all 8 atoms:
F  0.250  0.750  0.500  0.02
Bi  0.000  0.000  0.000  -0.20
F  0.500  0.500  0.000  0.02
V  0.451  0.125  0.250  2.77
V  0.375  0.549  0.750  2.77
V  0.299  0.625  0.250  2.77
Bi  0.750  0.250  0.500  -0.20
V  0.875  0.701  0.750  2.77

Results
The energy above the most stable polymorph in this dataset comes out at 0.0000 eV/atom. Its total energy is -5.326 eV per atom.

Material: V2Bi2F
Method: DFT, PBE with a Hubbard U
State: optimized geometry

Unit cell a=4.523 b=4.523 c=7.375 alpha=72.14 beta=72.14 gamma=90.00
Site moments in Bohr magnetons follow the coordinates.
Fractional coordinates of all 5 atoms:
Bi  0.250  0.750  0.500  -0.17
Bi  0.750  0.250  0.500  -0.17
V  0.607  0.607  0.787  2.90
F  0.000  0.000  0.000  -0.01
V  0.393  0.393  0.213  2.90

Results
The energy above the most stable polymorph in this dataset comes out at 0.6677 eV/atom. Its total energy is -4.345 eV per atom.

Material: VBiF
Method: DFT, PBE with a Hubbard U
State: optimized geometry

Unit cell a=4.862 b=6.374 c=10.469 alpha=90.00 beta=90.00 gamma=112.42
Site moments in Bohr magnetons follow the coordinates.
Fractional coordinates of all 12 atoms:
F  0.727  0.954  0.750  0.00
F  0.273  0.046  0.250  0.00
V  0.413  0.826  0.617  2.68
F  0.773  0.046  0.250  0.00
F  0.227  0.954  0.750  0.00
V  0.087  0.174  0.117  2.68
Bi  0.823  0.647  0.431  -0.05
Bi  0.323  0.647  0.069  -0.05
V  0.913  0.826  0.883  2.68
Bi  0.177  0.353  0.569  -0.05
V  0.587  0.174  0.383  2.68
Bi  0.677  0.353  0.931  -0.05

Results
Its total energy is -5.097 eV per atom.

Material: V2BiF
Method: DFT, PBE with a Hubbard U
State: optimized geometry

Unit cell a=4.763 b=4.763 c=4.763 alpha=60.00 beta=60.00 gamma=60.00
Site moments in Bohr magnetons follow the coordinates.
Fractional coordinates of all 4 atoms:
V  0.750  0.750  0.750  2.81
V  0.250  0.250  0.250  2.81
F  0.000  0.000  0.000  -0.05
Bi  0.500  0.500  0.500  -0.30

Results
The energy above the most stable polymorph in this dataset comes out at 0.3905 eV/atom. Its total energy is -4.935 eV per atom.